! Pm3Dy3Tm4 (PBE-GGA, relaxed); values from VASP
&SYSTEM
  ibrav = 0, nat = 10, ntyp = 3
/
ATOMIC_SPECIES
Pm 145.00 Pm.upf
Dy 162.50 Dy.upf
Tm 168.93 Tm.upf
ATOMIC_POSITIONS angstrom
Pm -1.0699 -2.6187 7.6348
Pm 1.4646 0.1693 4.4551
Pm 3.6243 -1.2624 8.2916
Dy 7.4068 -1.4744 7.2506
Dy 4.3444 0.5556 1.8106
Dy 6.1420 1.5159 5.1178
Tm 1.7238 -2.8396 5.9796
Tm 4.4792 -1.2599 5.0180
Tm 5.4072 -3.6097 9.6487
Tm 0.7449 -0.5191 1.3667
CELL_PARAMETERS angstrom
-1.1134 3.0068 1.7489
-2.4322 -5.2223 7.4302
8.6253 1.1170 3.5709
! **V**: 322.8 Å³ per cell
! **SG**: Amm2 (38)
! **Uncorrected energy**: -45.02 eV for the cell shown

---

! Pm2Dy7Tm2 (PBE-GGA, relaxed); values from VASP
&SYSTEM
  ibrav = 0, nat = 11, ntyp = 3
/
ATOMIC_SPECIES
Pm 145.00 Pm.upf
Dy 162.50 Dy.upf
Tm 168.93 Tm.upf
ATOMIC_POSITIONS angstrom
Pm 1.4211 -4.4578 0.8166
Pm 3.1791 -3.0978 -1.6897
Dy -0.4466 -5.8123 -5.7451
Dy 0.1517 -1.6810 -3.0836
Dy -1.6371 -3.0648 -0.5335
Dy -2.2354 -7.1961 -3.1949
Dy -3.3419 -0.6607 -2.7027
Dy 0.4123 -5.0582 -2.4555
Dy -2.4960 -3.8189 -3.8231
Tm -5.3629 -2.3119 -5.0164
Tm 3.2793 -6.5652 -1.2622
CELL_PARAMETERS angstrom
-6.6838 -1.3215 -5.4055
4.7730 -1.8649 -3.9619
-0.1728 -5.6908 3.0888
! **V**: 356.3 Å³ per cell
! **SG**: C2/m (12)
! **Uncorrected energy**: -49.36 eV for the cell shown

---

! Pm6Dy4Tm (PBE-GGA, relaxed); values from VASP
&SYSTEM
  ibrav = 0, nat = 11, ntyp = 3
/
ATOMIC_SPECIES
Pm 145.00 Pm.upf
Dy 162.50 Dy.upf
Tm 168.93 Tm.upf
ATOMIC_POSITIONS angstrom
Pm -0.0988 -5.8506 0.3556
Pm 0.6660 -4.9830 -3.0154
Pm 3.8287 -4.3385 -0.2481
Pm -0.6270 -1.3506 -2.9808
Pm 5.5419 -1.4279 0.8897
Pm -1.6382 -2.4978 1.4763
Dy 6.0717 -2.5990 -2.4938
Dy -1.9089 -7.4373 -2.3474
Dy 4.7717 -4.0739 3.2363
Dy 1.0032 -2.4899 -0.4133
Tm -2.2652 -3.8483 -1.5044
CELL_PARAMETERS angstrom
-3.2764 -4.9956 2.9526
-1.2540 -2.7011 -5.9615
9.4992 -0.6034 1.9998
! **V**: 377.8 Å³ per cell
! **SG**: I-42m (121)
! **Uncorrected energy**: -48.09 eV for the cell shown

---

! Pm2Dy6Tm3 (PBE-GGA, relaxed); values from VASP
&SYSTEM
  ibrav = 0, nat = 11, ntyp = 3
/
ATOMIC_SPECIES
Pm 145.00 Pm.upf
Dy 162.50 Dy.upf
Tm 168.93 Tm.upf
ATOMIC_POSITIONS angstrom
Pm 9.5414 -0.4798 11.5958
Pm 0.1690 -3.2428 1.6976
Dy 3.3940 -2.2001 2.3560
Dy 0.9454 -1.2524 4.4100
Dy 6.3164 -1.5225 10.9374
Dy 8.7650 -2.4701 8.8834
Dy 3.3395 -3.4022 5.5508
Dy 6.3709 -0.3203 7.7426
Tm 0.0000 0.0000 0.0000
Tm 5.5035 -3.5110 8.1807
Tm 4.2069 -0.2115 5.1127
CELL_PARAMETERS angstrom
-3.2456 -2.2466 2.5776
1.6516 -4.1419 -1.5304
11.3043 2.6659 12.2462
! **V**: 367.7 Å³ per cell
! **SG**: I4/mmm (139)
! **Uncorrected energy**: -47.44 eV for the cell shown

---

! PmDy5Tm5 (PBE-GGA, relaxed); values from VASP
&SYSTEM
  ibrav = 0, nat = 11, ntyp = 3
/
ATOMIC_SPECIES
Pm 145.00 Pm.upf
Dy 162.50 Dy.upf
Tm 168.93 Tm.upf
ATOMIC_POSITIONS angstrom
Pm 0.0000 0.0000 0.0000
Dy -4.9631 1.7303 3.2067
Dy -4.7119 5.4426 3.8113
Dy -2.5504 1.9880 -1.2457
Dy -1.7616 2.0534 2.3220
Dy -1.5103 5.7656 2.9266
Tm -3.9013 4.2639 0.7912
Tm -4.1026 7.5871 1.2674
Tm -0.2833 4.0513 0.2050
Tm -2.3709 -0.0911 4.8659
Tm -2.5721 3.2320 5.3421
CELL_PARAMETERS angstrom
-5.1008 3.9760 -2.4913
-0.8061 -4.5827 8.2147
-0.5665 8.1026 0.4099
! **V**: 354.6 Å³ per cell
! **SG**: P-1 (2)
! **Uncorrected energy**: -48.52 eV for the cell shown

---

! Pm3Dy4Tm2 (PBE-GGA, relaxed); values from VASP
&SYSTEM
  ibrav = 0, nat = 9, ntyp = 3
/
ATOMIC_SPECIES
Pm 145.00 Pm.upf
Dy 162.50 Dy.upf
Tm 168.93 Tm.upf
ATOMIC_POSITIONS angstrom
Pm -5.0847 -2.4597 5.6051
Pm 0.0000 0.0000 0.0000
Pm -2.5266 -1.6790 -1.8923
Dy -7.1730 -4.8880 7.1810
Dy -0.4382 0.7493 -3.4683
Dy -5.5275 -1.7111 2.1345
Dy -2.0837 -2.4276 1.5782
Tm -3.4498 0.7129 0.5726
Tm -4.1615 -4.8516 3.1402
CELL_PARAMETERS angstrom
-2.2828 5.5342 1.4697
0.4886 -1.6509 -5.9281
-5.8170 -8.0221 8.1712
! **V**: 288.2 Å³ per cell
! **SG**: P-1 (2)
! **Uncorrected energy**: -41.44 eV for the cell shown

---

! Pm2Dy5Tm (PBE-GGA, relaxed); values from VASP
&SYSTEM
  ibrav = 0, nat = 16, ntyp = 3
/
ATOMIC_SPECIES
Pm 145.00 Pm.upf
Dy 162.50 Dy.upf
Tm 168.93 Tm.upf
ATOMIC_POSITIONS angstrom
Pm 2.5139 1.7753 8.9055
Pm 2.5139 5.3516 5.3475
Pm 2.5139 1.7881 1.7790
Pm 2.5139 5.3388 12.4740
Dy 0.0000 0.0000 0.0000
Dy 0.0000 3.5635 7.1265
Dy 0.0000 3.5577 10.6930
Dy 0.0000 3.5693 3.5601
Dy 0.0000 0.0058 3.5665
Dy 0.0000 7.1211 10.6866
Dy 2.5139 1.7761 12.4741
Dy 2.5139 5.3509 1.7789
Dy 2.5139 1.7874 5.3476
Dy 2.5139 5.3395 8.9055
Tm 0.0000 0.0000 7.1265
Tm 0.0000 3.5635 0.0000
CELL_PARAMETERS angstrom
5.0278 0.0000 0.0000
0.0000 7.1269 0.0000
0.0000 0.0000 14.2530
! **V**: 510.7 Å³ per cell
! **SG**: Pbam (55)
! **Uncorrected energy**: -73.68 eV for the cell shown

---

! Pm3Dy7Tm (PBE-GGA, relaxed); values from VASP
&SYSTEM
  ibrav = 0, nat = 11, ntyp = 3
/
ATOMIC_SPECIES
Pm 145.00 Pm.upf
Dy 162.50 Dy.upf
Tm 168.93 Tm.upf
ATOMIC_POSITIONS angstrom
Pm 1.7377 -1.2379 6.7374
Pm -1.0821 2.6682 -0.4972
Pm 6.5654 -0.0481 2.6149
Dy 1.2708 0.8396 1.7305
Dy 4.3003 0.1492 8.5987
Dy -1.5197 3.0737 2.6270
Dy 7.6586 0.9768 5.7310
Dy 4.1515 -0.6430 4.6762
Dy 1.8385 3.9013 -0.2407
Dy 4.8680 3.2109 6.6274
Tm 3.0694 2.0253 4.1790
CELL_PARAMETERS angstrom
-2.1643 5.3365 -0.9944
-0.0393 -1.6758 8.2549
8.3424 0.3898 1.0975
! **V**: 364.8 Å³ per cell
! **SG**: Immm (71)
! **Uncorrected energy**: -47.94 eV for the cell shown

---

! Pm4Dy2Tm (PBE-GGA, relaxed); values from VASP
&SYSTEM
  ibrav = 0, nat = 14, ntyp = 3
/
ATOMIC_SPECIES
Pm 145.00 Pm.upf
Dy 162.50 Dy.upf
Tm 168.93 Tm.upf
ATOMIC_POSITIONS angstrom
Pm 2.3849 -4.8282 1.7093
Pm 10.3218 -2.0331 3.6096
Pm -0.8723 -5.4619 2.2996
Pm 4.1361 -6.8087 -0.0440
Pm 3.1593 -4.3299 5.0477
Pm 5.3134 -0.6863 5.9533
Pm 7.0646 -2.6668 4.2000
Pm 6.2901 -3.1651 0.8615
Dy 9.6919 -4.5841 5.8621
Dy -0.2424 -2.9109 0.0471
Dy 3.7728 -1.8031 2.8062
Dy 5.6767 -5.6919 3.1030
Tm 3.7416 -3.5804 -1.2149
Tm 5.7078 -3.9146 7.1241
CELL_PARAMETERS angstrom
-3.1201 -4.8376 2.3481
3.6599 -4.1391 -3.6642
8.9097 1.4817 7.2254
! **V**: 461.6 Å³ per cell
! **SG**: P2_1/m (11)
! **Uncorrected energy**: -63.59 eV for the cell shown

---

! Pm2Dy8Tm (PBE-GGA, relaxed); values from VASP
&SYSTEM
  ibrav = 0, nat = 11, ntyp = 3
/
ATOMIC_SPECIES
Pm 145.00 Pm.upf
Dy 162.50 Dy.upf
Tm 168.93 Tm.upf
ATOMIC_POSITIONS angstrom
Pm -13.5939 7.4024 8.8960
Pm -5.0317 1.7911 1.9883
Dy -8.4817 6.7265 5.7586
Dy -9.9691 5.0182 3.2700
Dy -10.2839 7.0342 8.7016
Dy -8.3416 2.1593 2.1826
Dy -8.6565 4.1753 7.6143
Dy -10.1439 2.4670 5.1257
Dy -11.8984 5.3908 6.2901
Dy -6.7272 3.8027 4.5942
Tm 0.0000 0.0000 0.0000
CELL_PARAMETERS angstrom
-6.6066 -0.1393 -0.8140
-6.1935 1.9815 7.8022
-5.8255 7.3514 3.8961
! **V**: 358.6 Å³ per cell
! **SG**: C2/m (12)
! **Uncorrected energy**: -49.01 eV for the cell shown

---

! Pm3Dy2Tm6 (PBE-GGA, relaxed); values from VASP
&SYSTEM
  ibrav = 0, nat = 11, ntyp = 3
/
ATOMIC_SPECIES
Pm 145.00 Pm.upf
Dy 162.50 Dy.upf
Tm 168.93 Tm.upf
ATOMIC_POSITIONS angstrom
Pm 0.0000 0.0000 0.0000
Pm -7.0730 7.5383 -0.0763
Pm -2.8166 6.0948 -0.5340
Dy -6.2675 13.5621 -1.1883
Dy -3.6221 0.0710 0.5780
Tm -2.8981 3.2242 1.6567
Tm -3.4268 2.6953 -1.5912
Tm -6.9915 10.4089 -2.2670
Tm -6.4628 10.9378 0.9809
Tm -5.6393 4.4361 0.1955
Tm -4.2503 9.1970 -0.8058
CELL_PARAMETERS angstrom
-3.5096 -1.8452 -2.5483
-2.4523 -0.7874 3.9474
-3.9277 16.2657 -2.0094
! **V**: 367.0 Å³ per cell
! **SG**: I4/mmm (139)
! **Uncorrected energy**: -47.23 eV for the cell shown

---

! Pm3Dy2Tm2 (PBE-GGA, relaxed); values from VASP
&SYSTEM
  ibrav = 0, nat = 7, ntyp = 3
/
ATOMIC_SPECIES
Pm 145.00 Pm.upf
Dy 162.50 Dy.upf
Tm 168.93 Tm.upf
ATOMIC_POSITIONS angstrom
Pm 0.0000 0.0000 0.0000
Pm 2.0559 5.0813 2.8578
Pm 1.9540 7.3132 5.6202
Dy 3.4128 1.7928 3.2501
Dy 0.5972 10.6017 5.2279
Tm 3.3111 4.0297 6.0459
Tm 0.6989 8.3648 2.4321
CELL_PARAMETERS angstrom
3.5153 -0.4305 0.4784
-0.6627 11.6297 2.0408
1.1573 1.1952 5.9587
! **V**: 225.5 Å³ per cell
! **SG**: C2/m (12)
! **Uncorrected energy**: -32.28 eV for the cell shown

---

! Pm2Dy3Tm7 (PBE-GGA, relaxed); values from VASP
&SYSTEM
  ibrav = 0, nat = 12, ntyp = 3
/
ATOMIC_SPECIES
Pm 145.00 Pm.upf
Dy 162.50 Dy.upf
Tm 168.93 Tm.upf
ATOMIC_POSITIONS angstrom
Pm 2.7684 3.6554 3.3216
Pm 2.7684 1.9027 8.4784
Dy 2.7684 3.0268 -0.1363
Dy 0.0000 5.7134 3.6386
Dy 0.0000 -0.1553 8.1614
Tm 2.7684 1.1321 5.2707
Tm 2.7684 4.4260 6.5293
Tm 0.0000 2.6425 1.9339
Tm 0.0000 0.0000 0.0000
Tm 5.5368 2.9156 9.8661
Tm 2.7684 5.0941 9.9076
Tm 2.7684 0.4640 1.8924
CELL_PARAMETERS angstrom
5.5368 0.0000 0.0000
0.0000 6.0536 -0.2726
0.0000 -0.4955 12.0726
! **V**: 403.9 Å³ per cell
! **SG**: P2/m (10)
! **Uncorrected energy**: -50.69 eV for the cell shown

---

! PmDy2Tm (PBE-GGA, relaxed); values from VASP
&SYSTEM
  ibrav = 0, nat = 4, ntyp = 3
/
ATOMIC_SPECIES
Tm 168.93 Tm.upf
Pm 145.00 Pm.upf
Dy 162.50 Dy.upf
ATOMIC_POSITIONS angstrom
Tm 1.7761 1.7761 0.0000
Pm 1.7761 1.7761 5.0369
Dy 0.0000 0.0000 7.6090
Dy 0.0000 0.0000 2.4647
CELL_PARAMETERS angstrom
3.5522 0.0000 0.0000
0.0000 3.5522 0.0000
0.0000 0.0000 10.0738
! **V**: 127.1 Å³ per cell
! **SG**: P4/mmm (123)
! **Uncorrected energy**: -18.33 eV for the cell shown

---

! Pm4Dy3Tm2 (PBE-GGA, relaxed); values from VASP
&SYSTEM
  ibrav = 0, nat = 9, ntyp = 3
/
ATOMIC_SPECIES
Pm 145.00 Pm.upf
Dy 162.50 Dy.upf
Tm 168.93 Tm.upf
ATOMIC_POSITIONS angstrom
Pm -3.0317 -0.5500 -1.7845
Pm -6.1626 0.5757 -0.3965
Pm -6.2245 2.2784 2.7687
Pm -3.0936 1.1527 1.3808
Dy -4.8057 3.9083 -0.1140
Dy -4.4506 -2.1799 1.0982
Dy 0.0000 0.0000 0.0000
Tm -1.7658 4.4348 1.6621
Tm -7.4904 -2.7064 -0.6779
CELL_PARAMETERS angstrom
-1.6733 1.0753 -4.6466
-5.7659 -5.4787 0.8085
-1.8171 6.1318 4.8223
! **V**: 291.4 Å³ per cell
! **SG**: C2/m (12)
! **Uncorrected energy**: -41.56 eV for the cell shown

---

! PmDy2Tm (PBE-GGA, relaxed); values from VASP
&SYSTEM
  ibrav = 0, nat = 4, ntyp = 3
/
ATOMIC_SPECIES
Pm 145.00 Pm.upf
Dy 162.50 Dy.upf
Tm 168.93 Tm.upf
ATOMIC_POSITIONS angstrom
Pm 1.3133 0.0043 6.9445
Dy 2.9619 3.0765 7.8359
Dy 0.6383 -0.0224 3.4374
Tm -0.9574 -3.0240 2.6462
CELL_PARAMETERS angstrom
-2.3088 -1.5055 2.2804
0.8683 -3.0364 1.6805
4.0779 4.5649 9.9484
! **V**: 127.4 Å³ per cell
! **SG**: R3m (160)
! **Uncorrected energy**: -18.36 eV for the cell shown

---

! PmDy8Tm2 (PBE-GGA, relaxed); values from VASP
&SYSTEM
  ibrav = 0, nat = 11, ntyp = 3
/
ATOMIC_SPECIES
Pm 145.00 Pm.upf
Dy 162.50 Dy.upf
Tm 168.93 Tm.upf
ATOMIC_POSITIONS angstrom
Pm 2.6273 0.0000 -0.7978
Dy 2.5068 6.1197 -1.1948
Dy 1.3004 3.9234 4.2824
Dy 0.6838 1.0946 2.2520
Dy 4.9156 1.8323 6.7380
Dy 3.5325 5.9163 2.1833
Dy 2.9160 3.0875 0.1529
Dy 1.7096 0.8913 5.6301
Dy -0.6992 5.1786 -2.3027
Tm 0.3361 5.0061 1.1070
Tm 3.8802 2.0048 3.3282
CELL_PARAMETERS angstrom
5.2547 0.0000 -1.5956
-0.9925 7.3497 -3.2686
-0.0458 -0.3388 9.2994
! **V**: 352.3 Å³ per cell
! **SG**: Immm (71)
! **Uncorrected energy**: -49.24 eV for the cell shown

---

! PmDy8Tm4 (PBE-GGA, relaxed); values from VASP
&SYSTEM
  ibrav = 0, nat = 13, ntyp = 3
/
ATOMIC_SPECIES
Pm 145.00 Pm.upf
Dy 162.50 Dy.upf
Tm 168.93 Tm.upf
ATOMIC_POSITIONS angstrom
Pm -5.8700 0.1638 1.8339
Dy -3.7248 -3.5556 0.8667
Dy -5.3301 -0.2259 -2.5166
Dy -2.0615 -1.7894 -1.8578
Dy -4.3086 -2.1129 -5.4671
Dy -6.9933 -1.9922 0.2079
Dy -5.7940 -3.8276 -2.1674
Dy -3.2609 0.0461 0.5175
Dy -4.7462 -1.6686 3.8172
Tm 0.0000 0.0000 0.0000
Tm -1.3422 -1.5495 2.9817
Tm 0.0003 -3.6040 0.3228
Tm 1.3425 -2.0545 -2.6589
CELL_PARAMETERS angstrom
2.6851 -4.1091 -5.3178
-2.6844 -3.0990 5.9634
-9.0555 3.4265 -2.2956
! **V**: 409.6 Å³ per cell
! **SG**: R-3m (166)
! **Uncorrected energy**: -56.81 eV for the cell shown

---

! Pm2Dy2Tm (PBE-GGA, relaxed); values from VASP
&SYSTEM
  ibrav = 0, nat = 10, ntyp = 3
/
ATOMIC_SPECIES
Pm 145.00 Pm.upf
Dy 162.50 Dy.upf
Tm 168.93 Tm.upf
ATOMIC_POSITIONS angstrom
Pm 2.8528 0.8968 1.3975
Pm 2.8528 -0.8968 14.0674
Pm 0.0000 0.8968 14.5931
Pm 0.0000 2.6905 1.9232
Dy 2.8528 2.6905 7.3295
Dy 0.0000 -0.8968 8.6611
Dy 0.0000 -0.8968 11.7641
Dy 2.8528 2.6905 4.2265
Tm 2.8529 0.8968 10.4211
Tm 0.0000 0.8968 5.5695
CELL_PARAMETERS angstrom
5.7057 0.0000 0.0000
0.0000 3.5873 0.0000
-2.8528 -1.7937 15.9906
! **V**: 327.3 Å³ per cell
! **SG**: Imma (74)
! **Uncorrected energy**: -44.91 eV for the cell shown

---

! Pm2Dy2Tm3 (PBE-GGA, relaxed); values from VASP
&SYSTEM
  ibrav = 0, nat = 14, ntyp = 3
/
ATOMIC_SPECIES
Pm 145.00 Pm.upf
Dy 162.50 Dy.upf
Tm 168.93 Tm.upf
ATOMIC_POSITIONS angstrom
Pm 4.0139 4.8479 2.6189
Pm 4.2799 -3.4653 1.2134
Pm 5.8553 -0.4090 0.4147
Pm 1.0910 -3.9864 -0.2078
Dy 2.0520 2.4783 1.3388
Dy 2.4235 -1.2908 2.9245
Dy -1.5112 -2.2923 3.5357
Dy -1.3021 -6.3930 3.5325
Tm 5.4061 -1.2464 4.1251
Tm 0.7099 -1.2736 5.7127
Tm 2.4402 -0.4020 -0.1656
Tm 2.8447 1.6309 4.3376
Tm 4.3787 -5.0060 -1.8876
Tm 1.1227 -4.2134 3.2486
CELL_PARAMETERS angstrom
-3.9719 -3.9943 6.2080
4.6703 -5.4706 -4.3048
4.9358 5.9613 3.2204
! **V**: 453.5 Å³ per cell
! **SG**: I2_13 (199)
! **Uncorrected energy**: -61.07 eV for the cell shown

---

! Pm5Dy2Tm2 (PBE-GGA, relaxed); values from VASP
&SYSTEM
  ibrav = 0, nat = 9, ntyp = 3
/
ATOMIC_SPECIES
Pm 145.00 Pm.upf
Dy 162.50 Dy.upf
Tm 168.93 Tm.upf
ATOMIC_POSITIONS angstrom
Pm -2.2580 -6.3781 -2.3586
Pm -4.0383 1.8512 4.3898
Pm -1.6777 -0.5629 3.1562
Pm -4.6187 -3.9640 -1.1250
Pm 0.0000 0.0000 0.0000
Dy -2.7858 -3.7316 1.9555
Dy -3.5106 -0.7953 0.0757
Tm -1.1388 -3.1935 -1.1608
Tm -5.1575 -1.3333 3.1921
CELL_PARAMETERS angstrom
-4.2013 2.1699 -1.8441
0.0913 -8.7990 -3.5730
-2.1863 2.1022 7.4484
! **V**: 294.4 Å³ per cell
! **SG**: C2/m (12)
! **Uncorrected energy**: -41.72 eV for the cell shown